# 1
The following is a DFT calculation (PBE-GGA) of an optimized crystal structure of Al3SiAu.

Results
The calculation puts the formation energy from raw total energies at 2.6 eV per formula unit. For the energy above the most stable polymorph in this dataset, the calculation gives 11 meV per atom.

a b c (Å): 4.7477 4.7477 4.7477
angles (deg): 90.00 90.00 90.00
Space group Pm-3m (No. 221)
Inequivalent atoms, fractional coordinates:
Al: 0.0000 0.0000 0.5000 x3
Si: 0.0000 0.0000 0.0000 x1
Au: 0.5000 0.5000 0.5000 x1



# 2
The following is a DFT calculation (PBE-GGA) of an optimized crystal structure of Tb3DyHo8.

Results
As for the formation enthalpy at 0 K: 8.821 eV per formula unit.

a b c (Å): 7.6346 7.6346 15.2864
angles (deg): 90.00 90.00 90.00
Space group I4/mmm (No. 139)
Inequivalent atoms, fractional coordinates:
Tb: 0.0000 0.0000 0.0000 x2
Tb: 0.0000 0.5000 0.2500 x4
Dy: 0.0000 0.0000 0.5000 x2
Ho: 0.2502 0.2502 0.1249 x16



# 3
The following is a DFT calculation (PBE-GGA) of an optimized crystal structure of Sm2Zn3Ga4Au.

Results
As for the formation enthalpy at 0 K: -5.014 eV per formula unit.

a b c (Å): 4.2542 4.2542 10.6627
angles (deg): 90.00 90.00 90.00
Space group P-4m2 (No. 115)
Inequivalent atoms, fractional coordinates:
Sm: 0.0000 0.5000 0.2475 x2
Zn: 0.0000 0.5000 0.8656 x2
Zn: 0.5000 0.5000 0.5000 x1
Ga: 0.0000 0.0000 0.0000 x1
Ga: 0.0000 0.5000 0.6386 x2
Ga: 0.5000 0.5000 0.0000 x1
Au: 0.0000 0.0000 0.5000 x1



# 4
The following is a DFT calculation (PBE-GGA) of an optimized crystal structure of Cs2TlGaBi2.

Results
As for the formation enthalpy at 0 K: -1.760 eV per formula unit.

a b c (Å): 7.7996 17.2483 7.6620
angles (deg): 90.00 90.00 90.00
Space group Ibam (No. 72)
Inequivalent atoms, fractional coordinates:
Cs: 0.2411 0.1648 0.0000 x8
Tl: 0.0000 0.0000 0.2500 x4
Ga: 0.0000 0.5000 0.2500 x4
Bi: 0.2171 0.4120 0.0000 x8



# 5
The following is a DFT calculation (PBE-GGA) of an optimized crystal structure of Ca2In6AgPd.

Results
As for the formation enthalpy at 0 K: -2.352 eV per formula unit.

a b c (Å): 7.1335 7.1335 36.8033
angles (deg): 90.00 90.00 120.00
Space group R-3m (No. 166, hexagonal axes)
Inequivalent atoms, fractional coordinates:
Ca: 0.0000 0.0000 0.1040 x6
Ca: 0.0000 0.0000 0.2807 x6
In: 0.0468 0.5234 0.3010 x18
In: 0.0532 0.5266 0.8677 x18
Ag: 0.0000 0.0000 0.4244 x6
Pd: 0.0000 0.0000 0.0000 x3
Pd: 0.0000 0.0000 0.5000 x3



# 6
The following is a DFT calculation (PBE-GGA) of an optimized crystal structure of Nb2CoAg2Se6.

Results
The calculation puts the formation energy from raw total energies at -4.5 eV per formula unit.

a b c (Å): 6.1329 11.2313 7.0086
angles (deg): 90.00 101.01 90.00
Space group C2/m (No. 12)
Inequivalent atoms, fractional coordinates:
Nb: 0.0000 0.1295 0.0000 x4
Co: 0.0000 0.5000 0.0000 x2
Ag: 0.0000 0.1389 0.5000 x4
Se: 0.1857 0.3333 0.1974 x8
Se: 0.2489 0.0000 0.2537 x4



# 7
The following is a DFT calculation (PBE-GGA) of an optimized crystal structure of Pr3Sm6Cd.

Results
As for the formation enthalpy at 0 K: 0.694 eV per formula unit. For the energy above the most stable polymorph in this dataset, the calculation gives 90 meV per atom.

a b c (Å): 13.0983 15.9761 6.4969
angles (deg): 90.00 90.00 90.00
Space group Cmc2_1 (No. 36)
Inequivalent atoms, fractional coordinates:
Pr: 0.0000 0.1448 0.0000 x4
Pr: 0.1972 0.4096 0.3459 x8
Sm: 0.0000 0.2495 0.4948 x4
Sm: 0.0000 0.4538 0.6720 x4
Sm: 0.1218 0.0534 0.5007 x8
Sm: 0.2112 0.3026 0.8103 x8
Cd: 0.0000 0.3434 0.0664 x4



# 8
The following is a DFT calculation (PBE-GGA) of an optimized crystal structure of CaPBr2.

Results
The calculation puts the formation energy from raw total energies at -3.4 eV per formula unit. For the energy above the most stable polymorph in this dataset, the calculation gives 0 meV per atom.

a b c (Å): 15.0085 3.5924 4.8660
angles (deg): 90.00 91.59 90.00
Space group C2/m (No. 12)
Inequivalent atoms, fractional coordinates:
Ca: 0.0000 0.0000 0.0000 x2
P: 0.0000 0.5000 0.5000 x2
Br: 0.1424 0.5000 0.2221 x4



# 9
The following is a DFT calculation (PBE-GGA) of an optimized crystal structure of LuPu2.

Results
As for the formation enthalpy at 0 K: 0.685 eV per formula unit. For the energy above the most stable polymorph in this dataset, the calculation gives 0 meV per atom.

a b c (Å): 8.6621 8.6621 8.6621
angles (deg): 90.00 90.00 90.00
Space group Fd-3m (No. 227, origin choice 2)
Inequivalent atoms, fractional coordinates:
Lu: 0.1250 0.1250 0.1250 x8
Pu: 0.0000 0.0000 0.5000 x16



# 10
The following is a DFT calculation (PBE-GGA) of an optimized crystal structure of Mg2MnGeRh.

Results
As for the formation enthalpy at 0 K: 1.039 eV per formula unit.

a b c (Å): 4.8998 4.8998 4.6530
angles (deg): 90.00 90.00 90.00
Space group P4/mmm (No. 123)
Inequivalent atoms, fractional coordinates:
Mg: 0.0000 0.5000 0.0000 x2
Mn: 0.0000 0.0000 0.5000 x1
Ge: 0.5000 0.5000 0.5000 x1
Rh: 0.5000 0.5000 0.0000 x1



# 11
The following is a DFT calculation (PBE-GGA) of an optimized crystal structure of ZrAgGe2.

Results
As for the formation enthalpy at 0 K: -0.071 eV per formula unit. For the energy above the most stable polymorph in this dataset, the calculation gives 254 meV per atom.

a b c (Å): 6.7031 6.7031 6.7031
angles (deg): 90.00 90.00 90.00
Space group Fm-3m (No. 225)
Inequivalent atoms, fractional coordinates:
Zr: 0.0000 0.0000 0.0000 x4
Ag: 0.0000 0.0000 0.5000 x4
Ge: 0.2500 0.2500 0.2500 x8



# 12
The following is a DFT calculation (PBE-GGA) of an optimized crystal structure of Rb3Pu3GaS8.

Results
The calculation puts the formation energy from raw total energies at -19.9 eV per formula unit.

a b c (Å): 8.0311 8.0311 23.2655
angles (deg): 90.00 90.00 120.00
Space group R-3m (No. 166, hexagonal axes)
Inequivalent atoms, fractional coordinates:
Rb: 0.0000 0.5000 0.0000 x9
Pu: 0.0000 0.5000 0.5000 x9
Ga: 0.0000 0.0000 0.5000 x3
S: 0.0000 0.0000 0.2296 x6
S: 0.0164 0.5082 0.2257 x18



# 13
The following is a DFT calculation (PBE-GGA) of an optimized crystal structure of Na2H2IrO6.

a b c (Å): 4.9879 4.9879 5.2165
angles (deg): 90.00 90.00 120.00
Space group P-3 (No. 147)
Inequivalent atoms, fractional coordinates:
Na: 0.3333 0.6667 0.3709 x2
H: 0.3333 0.6667 0.8266 x2
Ir: 0.0000 0.0000 0.0000 x1
O: 0.1192 0.3517 0.7881 x6



# 14
The following is a DFT calculation (PBE-GGA) of an optimized crystal structure of Zr2BeHg.

Results
As for the formation enthalpy at 0 K: 0.484 eV per formula unit. For the energy above the most stable polymorph in this dataset, the calculation gives 227 meV per atom.

a b c (Å): 3.2412 3.9540 6.1637
angles (deg): 90.00 90.00 90.00
Space group Pmm2 (No. 25)
Inequivalent atoms, fractional coordinates:
Zr: 0.0000 0.0000 0.0000 x1
Zr: 0.5000 0.5000 0.2768 x1
Be: 0.0000 0.0000 0.4761 x1
Hg: 0.5000 0.5000 0.7374 x1



# 15
The following is a DFT calculation (PBE-GGA) of an optimized crystal structure of Mg6AgHg5.

Results
As for the formation enthalpy at 0 K: -2.657 eV per formula unit.

a b c (Å): 4.7989 7.2114 7.5915
angles (deg): 90.00 108.08 90.00
Space group P2/m (No. 10)
Inequivalent atoms, fractional coordinates:
Mg: 0.0000 0.2494 0.0000 x2
Mg: 0.3355 0.2570 0.6682 x4
Ag: 0.5000 0.5000 0.0000 x1
Hg: 0.1582 0.5000 0.3185 x2
Hg: 0.1681 0.0000 0.3374 x2
Hg: 0.5000 0.0000 0.0000 x1



# 16
The following is a DFT calculation (PBE-GGA) of an optimized crystal structure of NdTmHgRh.

Results
As for the formation enthalpy at 0 K: -2.258 eV per formula unit.

a b c (Å): 7.2216 7.2216 7.2216
angles (deg): 90.00 90.00 90.00
Space group F-43m (No. 216)
Inequivalent atoms, fractional coordinates:
Nd: 0.0000 0.0000 0.0000 x4
Tm: 0.0000 0.0000 0.5000 x4
Hg: 0.2500 0.2500 0.7500 x4
Rh: 0.2500 0.2500 0.2500 x4



# 17
The following is a DFT calculation (PBE-GGA) of an optimized crystal structure of Ga2Sb2I.

Results
The calculation puts the formation energy from raw total energies at 0.6 eV per formula unit. For the energy above the most stable polymorph in this dataset, the calculation gives 139 meV per atom.

a b c (Å): 8.7171 8.7171 3.5478
angles (deg): 90.00 90.00 90.00
Space group P4/mbm (No. 127)
Inequivalent atoms, fractional coordinates:
Ga: 0.1467 0.3533 0.0000 x4
Sb: 0.1471 0.6471 0.5000 x4
I: 0.0000 0.0000 0.5000 x2



# 18
The following is a DFT calculation (PBE-GGA) of an optimized crystal structure of CrSiAu2.

Results
The calculation puts the formation energy from raw total energies at 0.1 eV per formula unit.

a b c (Å): 3.7210 2.8963 11.8655
angles (deg): 90.00 90.00 90.00
Space group Amm2 (No. 38)
Inequivalent atoms, fractional coordinates:
Cr: 0.0000 0.0000 0.0000 x2
Si: 0.5000 0.0000 0.5731 x2
Au: 0.0000 0.0000 0.7176 x2
Au: 0.5000 0.0000 0.3588 x2



# 19
The following is a DFT calculation (PBE-GGA) of an optimized crystal structure of CaCu2Se.

Results
The calculation puts the formation energy from raw total energies at -1.7 eV per formula unit.

a b c (Å): 4.0955 4.0955 16.2261
angles (deg): 90.00 90.00 120.00
Space group R3m (No. 160, hexagonal axes)
Inequivalent atoms, fractional coordinates:
Ca: 0.0000 0.0000 0.0000 x3
Cu: 0.0000 0.0000 0.4852 x3
Cu: 0.0000 0.0000 0.7800 x3
Se: 0.0000 0.0000 0.2174 x3



# 20
The following is a DFT calculation (PBE-GGA) of an optimized crystal structure of CaGdCo.

Results
As for the formation enthalpy at 0 K: 0.070 eV per formula unit.

a b c (Å): 3.4211 3.4211 12.9869
angles (deg): 90.00 90.00 90.00
Space group I4mm (No. 107)
Inequivalent atoms, fractional coordinates:
Ca: 0.0000 0.0000 0.0000 x2
Gd: 0.0000 0.0000 0.2535 x2
Co: 0.0000 0.0000 0.6431 x2



| no. | total DFT energy (no corrections) (eV for the cell shown) | volume (A^3/atom) |
| --- | --- | --- |
| 1 | -17.331 | 21.40 |
| 2 | -92.588 | 37.13 |
| 3 | -33.659 | 19.30 |
| 4 | -66.490 | 42.95 |
| 5 | -184.977 | 27.03 |
| 6 | -116.786 | 21.54 |
| 7 | -171.500 | 33.99 |
| 8 | -28.349 | 32.78 |
| 9 | -259.997 | 27.08 |
| 10 | -23.288 | 22.34 |
| 11 | -82.819 | 18.82 |
| 12 | -305.522 | 28.88 |
| 13 | -55.813 | 10.22 |
| 14 | -20.640 | 19.75 |
| 15 | -16.585 | 20.81 |
| 16 | -76.600 | 23.54 |
| 17 | -30.400 | 26.96 |
| 18 | -42.988 | 15.98 |
| 19 | -46.145 | 19.64 |
| 20 | -46.236 | 25.33 |